No. 1
Entry from Alexandria via LeMat-Bulk: a relaxed Tb8Cu2Sb crystal (GGA-PBE).

Energy relative to the elements, uncorrected = -0.16 eV/atom
Energy = -102.33 eV/cell
M_tot = 0.0 μB/cell
Calculated volume = 608 Å³ per cell

abc: 8.6415 13.4274 5.4440
angles: 90.00 105.68 90.00
Space group C2/m (No. 12)
Unique sites:
1 Tb 0.0000 0.2429 0.0000
2 Tb 0.1042 0.5000 0.8016
3 Tb 0.2025 0.1230 0.5938
4 Cu 0.0000 0.3065 0.5000
5 Sb 0.0000 0.0000 0.0000

No. 2
Entry from Alexandria via LeMat-Bulk: a relaxed Pm5Y2Th crystal (GGA-PBE).

Formation energy = 0.04 eV/atom
Energy = -175.22 eV/cell
M_tot = 0.0 μB/cell
Calculated volume = 1086 Å³ per cell

abc: 7.2942 25.3327 5.8748
angles: 90.00 90.02 90.00
Space group C2/c (No. 15)
Unique sites:
1 Pm 0.0000 0.2103 0.2500
2 Pm 0.2417 0.0804 0.2499
3 Pm 0.2474 0.1655 0.7503
4 Y 0.0000 0.2941 0.7500
5 Y 0.0000 0.4570 0.2500
6 Th 0.0000 0.0399 0.7500

No. 3
Entry from Alexandria via LeMat-Bulk: a relaxed TiNb2GeH crystal (GGA-PBE).

Energy = -37.66 eV/cell
M_tot = 0.0 μB/cell
Calculated volume = 70 Å³ per cell

abc: 4.0519 4.0519 4.2478
angles: 90.00 90.00 90.00
Space group P4/mmm (No. 123)
Unique sites:
1 Ti 0.0000 0.0000 0.0000
2 Nb 0.0000 0.5000 0.5000
3 Ge 0.5000 0.5000 0.0000
4 H 0.0000 0.0000 0.5000

No. 4
Entry from Alexandria via LeMat-Bulk: a relaxed Mn2MoIr crystal (GGA-PBE).

Formation energy = 0.11 eV/atom
Energy = -112.75 eV/cell
M_tot = 0.7 μB/cell
Calculated volume = 166 Å³ per cell

abc: 2.7139 2.7139 26.0131
angles: 90.00 90.00 120.00
Space group R3m (No. 160, hexagonal axes)
Unique sites:
1 Mn 0.0000 0.0000 0.0000
2 Mn 0.0000 0.0000 0.2594
3 Mo 0.0000 0.0000 0.7553
4 Ir 0.0000 0.0000 0.5089

Q: Look up the calculated volume of the second one.
A: 1086 Å³ per cell

Q: The highest energy belongs to which entry?
A: TiNb2GeH

Q: The lowest energy belongs to which entry?
A: Pm5Y2Th

Q: Which value of calculated volume does entry 3 give?
A: 70 Å³ per cell